A plane-wave DFT calculation with PBE was carried out for a geometry-optimized GdNi4Bi structure.

Computed properties:
VASP energy: -7.07 eV per atom
density of states at the Fermi level: 5.68 states/eV per cell
symmetry: F-43m (216)
ΔE_f: -1.4 eV/f.u.

```
data_GdNi4Bi
_space_group_name_H-M_alt 'P 1'
_space_group_IT_number 1
_space_group_name_Hall 'P 1'
_cell_length_a 5.0877
_cell_length_b 5.0877
_cell_length_c 5.0877
_cell_angle_alpha 60.00
_cell_angle_beta 60.00
_cell_angle_gamma 60.00
loop_
_atom_site_label
_atom_site_fract_x
_atom_site_fract_y
_atom_site_fract_z
Ni1 0.1234 0.6255 0.6255
Ni2 0.6255 0.6255 0.6255
Bi1 0.2500 0.2500 0.2500
Ni3 0.6255 0.1234 0.6255
Ni4 0.6255 0.6255 0.1234
Gd1 0.0000 0.0000 0.0000
```

=====

A plane-wave DFT calculation with PBE was carried out for a geometry-optimized LaFeB2Os structure.

Computed properties:
VASP energy: -7.97 eV per atom
density of states at the Fermi level: 3.06 states/eV per cell
symmetry: I-4m2 (119)
ΔE_f: -1.9 eV/f.u.

```
data_LaFeB2Os
_space_group_name_H-M_alt 'P 1'
_space_group_IT_number 1
_space_group_name_Hall 'P 1'
_cell_length_a 3.8223
_cell_length_b 3.8223
_cell_length_c 5.8334
_cell_angle_alpha 109.12
_cell_angle_beta 109.12
_cell_angle_gamma 90.00
loop_
_atom_site_label
_atom_site_fract_x
_atom_site_fract_y
_atom_site_fract_z
Os1 0.2500 0.7500 0.5000
B1 0.3295 0.3295 0.6591
B2 0.6705 0.6705 0.3409
Fe1 0.7500 0.2500 0.5000
La1 0.0000 0.0000 0.0000
```

=====

A plane-wave DFT calculation with PBE was carried out for a geometry-optimized Cs2Tl4Cd3Pb structure.

Computed properties:
VASP energy: -1.82 eV per atom
density of states at the Fermi level: 5.93 states/eV per cell
symmetry: P-4m2 (115)
ΔE_f: -0.6 eV/f.u.

```
data_Cs2Tl4Cd3Pb
_space_group_name_H-M_alt 'P 1'
_space_group_IT_number 1
_space_group_name_Hall 'P 1'
_cell_length_a 5.2448
_cell_length_b 5.2448
_cell_length_c 13.1344
_cell_angle_alpha 90.00
_cell_angle_beta 90.00
_cell_angle_gamma 90.00
loop_
_atom_site_label
_atom_site_fract_x
_atom_site_fract_y
_atom_site_fract_z
Cs1 0.0000 0.5000 0.7514
Tl1 0.5000 0.5000 0.0000
Tl2 0.0000 0.5000 0.3633
Cd1 0.5000 0.0000 0.8728
Cd2 0.0000 0.5000 0.1272
Tl3 0.5000 0.0000 0.6367
Cs2 0.5000 0.0000 0.2486
Cd3 0.0000 0.0000 0.5000
Tl4 0.0000 0.0000 0.0000
Pb1 0.5000 0.5000 0.5000
```

=====

A plane-wave DFT calculation with PBE was carried out for a geometry-optimized CaH2I2 structure.

Computed properties:
E above lowest polymorph: 71 kJ/mol of formula units
VASP energy: -3.20 eV per atom
density of states at the Fermi level: 0.00 states/eV per cell
symmetry: C2/m (12)

```
data_CaH2I2
_space_group_name_H-M_alt 'P 1'
_space_group_IT_number 1
_space_group_name_Hall 'P 1'
_cell_length_a 4.6628
_cell_length_b 9.0725
_cell_length_c 8.1134
_cell_angle_alpha 85.78
_cell_angle_beta 73.34
_cell_angle_gamma 75.11
loop_
_atom_site_label
_atom_site_fract_x
_atom_site_fract_y
_atom_site_fract_z
I1 0.2190 0.3046 0.2577
H1 0.0084 0.0000 0.8227
Ca1 0.8426 0.3151 0.0000
H2 0.1710 0.0000 0.8230
I2 0.4764 0.3046 0.7423
H3 0.9916 0.0000 0.1773
I3 0.5236 0.6954 0.2577
H4 0.8290 0.0000 0.1770
I4 0.7810 0.6954 0.7423
Ca2 0.1574 0.6849 0.0000
```

=====

A plane-wave DFT calculation with PBE was carried out for a geometry-optimized CaZrBr structure.

Computed properties:
formation energy from raw total energies: -333 meV per atom
E above lowest polymorph: 36 kJ/mol of formula units
VASP energy: -4.41 eV per atom
density of states at the Fermi level: 2.56 states/eV per cell
symmetry: Fmm2 (42)

```
data_CaZrBr
_space_group_name_H-M_alt 'P 1'
_space_group_IT_number 1
_space_group_name_Hall 'P 1'
_cell_length_a 7.5860
_cell_length_b 7.3526
_cell_length_c 3.4160
_cell_angle_alpha 80.63
_cell_angle_beta 73.00
_cell_angle_gamma 26.38
loop_
_atom_site_label
_atom_site_fract_x
_atom_site_fract_y
_atom_site_fract_z
Zr1 0.3434 0.3434 0.6566
Ca1 0.6625 0.6625 0.3375
Br1 0.9941 0.9941 0.0059
```

=====

A plane-wave DFT calculation with PBE was carried out for a geometry-optimized Ba3Ac3HoTe8 structure.

Computed properties:
formation energy from raw total energies: -1606 meV per atom
VASP energy: -4.79 eV per atom
density of states at the Fermi level: 5.43 states/eV per cell
symmetry: R-3m (166)

```
data_Ba3Ac3HoTe8
_space_group_name_H-M_alt 'P 1'
_space_group_IT_number 1
_space_group_name_Hall 'P 1'
_cell_length_a 9.4987
_cell_length_b 9.4988
_cell_length_c 9.7801
_cell_angle_alpha 119.06
_cell_angle_beta 90.00
_cell_angle_gamma 120.00
loop_
_atom_site_label
_atom_site_fract_x
_atom_site_fract_y
_atom_site_fract_z
Te1 0.7460 0.4920 0.7379
Te2 0.7589 0.9903 0.7218
Ac1 0.5000 0.5000 0.5000
Ac2 0.5000 0.0000 0.5000
Te3 0.2315 0.4629 0.7218
Te4 0.2411 0.0097 0.2782
Ac3 0.0000 0.5000 0.5000
Ba1 0.0000 0.5000 0.0000
Te5 0.7686 0.0097 0.2782
Te6 0.7685 0.5371 0.2782
Te7 0.2314 0.9903 0.7218
Ba2 0.5000 0.5000 0.0000
Ho1 0.0000 0.0000 0.5000
Te8 0.2540 0.5080 0.2621
Ba3 0.0000 0.0000 0.0000
```

=====

A plane-wave DFT calculation with PBE was carried out for a geometry-optimized CaAlBr6 structure.

Computed properties:
formation energy from raw total energies: -1131 meV per atom
VASP energy: -3.10 eV per atom
density of states at the Fermi level: 10.78 states/eV per cell
symmetry: P-1 (2)

```
data_CaAlBr6
_space_group_name_H-M_alt 'P 1'
_space_group_IT_number 1
_space_group_name_Hall 'P 1'
_cell_length_a 6.8334
_cell_length_b 6.8298
_cell_length_c 7.1880
_cell_angle_alpha 61.54
_cell_angle_beta 61.69
_cell_angle_gamma 60.01
loop_
_atom_site_label
_atom_site_fract_x
_atom_site_fract_y
_atom_site_fract_z
Br1 0.6074 0.2145 0.2360
Al1 0.0000 0.0000 0.0000
Br2 0.9431 0.6062 0.2375
Br3 0.3926 0.7855 0.7640
Ca1 0.5000 0.5000 0.5000
Br4 0.2149 0.9436 0.2354
Br5 0.7851 0.0564 0.7646
Br6 0.0569 0.3938 0.7625
```

=====

A plane-wave DFT calculation with PBE was carried out for a geometry-optimized Ba2ThMnTe5 structure.

Computed properties:
formation energy from raw total energies: -1237 meV per atom
VASP energy: -5.25 eV per atom
density of states at the Fermi level: 0.04 states/eV per cell
symmetry: Cmc2_1 (36)

```
data_Ba2ThMnTe5
_space_group_name_H-M_alt 'P 1'
_space_group_IT_number 1
_space_group_name_Hall 'P 1'
_cell_length_a 4.6716
_cell_length_b 10.3372
_cell_length_c 14.3198
_cell_angle_alpha 90.00
_cell_angle_beta 90.00
_cell_angle_gamma 103.06
loop_
_atom_site_label
_atom_site_fract_x
_atom_site_fract_y
_atom_site_fract_z
Ba1 0.8844 0.7688 0.1894
Th1 0.1987 0.3975 0.0230
Ba2 0.1156 0.2312 0.6894
Te1 0.6941 0.3882 0.8697
Te2 0.6480 0.2959 0.5111
Te3 0.9564 0.9129 0.5307
Ba3 0.8829 0.7658 0.8316
Te4 0.3059 0.6118 0.3697
Te5 0.0436 0.0871 0.0307
Th2 0.8013 0.6025 0.5230
Te6 0.4996 0.9992 0.2672
Mn1 0.5621 0.1242 0.9312
Te7 0.7021 0.4042 0.1701
Te8 0.3520 0.7041 0.0111
Mn2 0.4379 0.8758 0.4312
Te9 0.2979 0.5958 0.6701
Ba4 0.1171 0.2342 0.3316
Te10 0.5004 0.0008 0.7672
```